# Zn3Ni4Ir, relaxed, DFT PBE-GGA
# E_form: -1.212 eV per formula unit
# Space-group type: Pmma (51)
data_Zn3Ni4Ir
_chemical_formula_sum 'Zn6 Ni8 Ir2'
_cell_length_a 8.4903
_cell_length_b 5.2599
_cell_length_c 4.4277
_cell_angle_alpha 90.00
_cell_angle_beta 90.00
_cell_angle_gamma 90.00
_symmetry_space_group_name_H-M 'P 1'
_symmetry_Int_Tables_number 1
loop_
_symmetry_equiv_pos_as_xyz
'x,y,z'
loop_
_atom_site_label
_atom_site_type_symbol
_atom_site_fract_x
_atom_site_fract_y
_atom_site_fract_z
Zn1 Zn 0.0000 0.0000 0.0000
Zn2 Zn 0.2500 0.0000 0.3706
Zn3 Zn 0.2500 0.5000 0.3583
Zn4 Zn 0.5000 0.0000 0.0000
Zn5 Zn 0.7500 0.0000 0.6294
Zn6 Zn 0.7500 0.5000 0.6417
Ni1 Ni 0.0000 0.2507 0.5000
Ni2 Ni 0.0000 0.7493 0.5000
Ni3 Ni 0.2500 0.2524 0.8515
Ni4 Ni 0.2500 0.7476 0.8515
Ni5 Ni 0.5000 0.2507 0.5000
Ni6 Ni 0.5000 0.7493 0.5000
Ni7 Ni 0.7500 0.2524 0.1485
Ni8 Ni 0.7500 0.7476 0.1485
Ir1 Ir 0.0000 0.5000 0.0000
Ir2 Ir 0.5000 0.5000 0.0000

# NaCeEr2Se4, relaxed, DFT PBE-GGA
# Space-group type: P2/m (10)
# Uncorrected formation energy: -1718.4 meV/atom
data_NaCeEr2Se4
_chemical_formula_sum 'Na1 Ce1 Er2 Se4'
_cell_length_a 7.1407
_cell_length_b 4.0821
_cell_length_c 7.2157
_cell_angle_alpha 90.00
_cell_angle_beta 108.90
_cell_angle_gamma 90.00
_symmetry_space_group_name_H-M 'P 1'
_symmetry_Int_Tables_number 1
loop_
_symmetry_equiv_pos_as_xyz
'x,y,z'
loop_
_atom_site_label
_atom_site_type_symbol
_atom_site_fract_x
_atom_site_fract_y
_atom_site_fract_z
Na1 Na 0.0000 0.0000 0.0000
Ce1 Ce 0.5000 0.5000 0.0000
Er1 Er 0.0000 0.5000 0.5000
Er2 Er 0.5000 0.0000 0.5000
Se1 Se 0.2420 0.0000 0.7374
Se2 Se 0.2530 0.5000 0.2635
Se3 Se 0.7470 0.5000 0.7365
Se4 Se 0.7580 0.0000 0.2626

# Dy3BTe2, relaxed, DFT PBE-GGA
# Space-group type: Fddd (70)
# Uncorrected formation energy: -979.3 meV/atom
data_Dy3BTe2
_chemical_formula_sum 'Dy12 B4 Te8'
_cell_length_a 13.6930
_cell_length_b 13.0575
_cell_length_c 7.3041
_cell_angle_alpha 79.01
_cell_angle_beta 69.41
_cell_angle_gamma 31.58
_symmetry_space_group_name_H-M 'P 1'
_symmetry_Int_Tables_number 1
loop_
_symmetry_equiv_pos_as_xyz
'x,y,z'
loop_
_atom_site_label
_atom_site_type_symbol
_atom_site_fract_x
_atom_site_fract_y
_atom_site_fract_z
Dy1 Dy 0.0341 0.5310 0.1736
Dy2 Dy 0.0747 0.6753 0.6753
Dy3 Dy 0.1736 0.7613 0.0341
Dy4 Dy 0.2387 0.8264 0.4690
Dy5 Dy 0.3247 0.9253 0.9253
Dy6 Dy 0.4690 0.9659 0.2387
Dy7 Dy 0.5310 0.0341 0.7613
Dy8 Dy 0.6753 0.0747 0.0747
Dy9 Dy 0.7613 0.1736 0.5310
Dy10 Dy 0.8264 0.2387 0.9659
Dy11 Dy 0.9253 0.3247 0.3247
Dy12 Dy 0.9659 0.4690 0.8264
B1 B 0.0411 0.0411 0.2089
B2 B 0.2089 0.2089 0.0411
B3 B 0.7911 0.7911 0.9589
B4 B 0.9589 0.9589 0.7911
Te1 Te 0.1306 0.1306 0.6194
Te2 Te 0.2972 0.2972 0.4528
Te3 Te 0.3806 0.3806 0.8694
Te4 Te 0.4528 0.4528 0.2972
Te5 Te 0.5472 0.5472 0.7028
Te6 Te 0.6194 0.6194 0.1306
Te7 Te 0.7028 0.7028 0.5472
Te8 Te 0.8694 0.8694 0.3806

# AsIr2Se, relaxed, DFT PBE-GGA
# Energy above the most stable polymorph in this dataset: 0.465 eV per atom
# Space-group type: Immm (71)
# Uncorrected formation energy: 501.5 meV/atom
data_AsIr2Se
_chemical_formula_sum 'As1 Ir2 Se1'
_cell_length_a 5.3581
_cell_length_b 5.3581
_cell_length_c 5.3581
_cell_angle_alpha 149.07
_cell_angle_beta 124.25
_cell_angle_gamma 65.13
_symmetry_space_group_name_H-M 'P 1'
_symmetry_Int_Tables_number 1
loop_
_symmetry_equiv_pos_as_xyz
'x,y,z'
loop_
_atom_site_label
_atom_site_type_symbol
_atom_site_fract_x
_atom_site_fract_y
_atom_site_fract_z
As1 As 0.0000 0.0000 0.0000
Ir1 Ir 0.2497 0.7497 0.5000
Ir2 Ir 0.7503 0.2503 0.5000
Se1 Se 0.5000 0.5000 0.0000

# Er4SnPt2, relaxed, DFT PBE-GGA
# E_form: -6.262 eV per formula unit
# Space-group type: R-3m (166)
data_Er4SnPt2
_chemical_formula_sum 'Er4 Sn1 Pt2'
_cell_length_a 10.2248
_cell_length_b 10.2248
_cell_length_c 10.2248
_cell_angle_alpha 26.29
_cell_angle_beta 26.29
_cell_angle_gamma 26.29
_symmetry_space_group_name_H-M 'P 1'
_symmetry_Int_Tables_number 1
loop_
_symmetry_equiv_pos_as_xyz
'x,y,z'
loop_
_atom_site_label
_atom_site_type_symbol
_atom_site_fract_x
_atom_site_fract_y
_atom_site_fract_z
Er1 Er 0.1144 0.1144 0.1144
Er2 Er 0.2988 0.2988 0.2988
Er3 Er 0.7012 0.7012 0.7012
Er4 Er 0.8856 0.8856 0.8856
Sn1 Sn 0.5000 0.5000 0.5000
Pt1 Pt 0.3991 0.3991 0.3991
Pt2 Pt 0.6009 0.6009 0.6009

# ZrMn2Ga2, relaxed, DFT PBE-GGA
# E_form: -0.318 eV per formula unit
# Energy above the most stable polymorph in this dataset: 0.142 eV per atom
# Space-group type: I4/mmm (139)
data_ZrMn2Ga2
_chemical_formula_sum 'Zr1 Mn2 Ga2'
_cell_length_a 5.5693
_cell_length_b 5.5693
_cell_length_c 5.5693
_cell_angle_alpha 137.10
_cell_angle_beta 137.10
_cell_angle_gamma 62.29
_symmetry_space_group_name_H-M 'P 1'
_symmetry_Int_Tables_number 1
loop_
_symmetry_equiv_pos_as_xyz
'x,y,z'
loop_
_atom_site_label
_atom_site_type_symbol
_atom_site_fract_x
_atom_site_fract_y
_atom_site_fract_z
Zr1 Zr 0.0000 0.0000 0.0000
Mn1 Mn 0.3976 0.3976 0.0000
Mn2 Mn 0.6024 0.6024 0.0000
Ga1 Ga 0.2500 0.7500 0.5000
Ga2 Ga 0.7500 0.2500 0.5000